[1]
A geometry-optimized AlW2 structure. Source: OQMD via LeMat-Bulk, functional PBE-GGA. Values from VASP.

Quantum ESPRESSO input file:
```
&SYSTEM
  ibrav = 0, nat = 24, ntyp = 2
/
ATOMIC_SPECIES
Al 26.98 Al.upf
W 183.84 W.upf
ATOMIC_POSITIONS crystal
Al 0.333 0.667 0.125
Al 0.333 0.667 0.375
Al 0.333 0.667 0.655
Al 0.333 0.667 0.845
Al 0.667 0.333 0.155
Al 0.667 0.333 0.345
Al 0.667 0.333 0.625
Al 0.667 0.333 0.875
W 0.000 0.000 0.093
W 0.000 0.000 0.407
W 0.000 0.000 0.593
W 0.000 0.000 0.907
W 0.000 0.500 0.000
W 0.000 0.500 0.500
W 0.163 0.326 0.250
W 0.163 0.837 0.250
W 0.326 0.163 0.750
W 0.500 0.000 0.000
W 0.500 0.000 0.500
W 0.500 0.500 0.000
W 0.500 0.500 0.500
W 0.674 0.837 0.250
W 0.837 0.163 0.750
W 0.837 0.674 0.750
CELL_PARAMETERS angstrom
5.224 0.000 0.000
-2.612 4.524 0.000
0.000 0.000 16.794
```

Output
- E (eV/atom) = -9.573

[2]
A geometry-optimized AlW2 structure. Source: OQMD via LeMat-Bulk, functional PBE-GGA. Values from VASP.

Quantum ESPRESSO input file:
```
&SYSTEM
  ibrav = 0, nat = 12, ntyp = 2
/
ATOMIC_SPECIES
Al 26.98 Al.upf
W 183.84 W.upf
ATOMIC_POSITIONS crystal
Al 0.148 0.342 0.250
Al 0.342 0.148 0.750
Al 0.658 0.852 0.250
Al 0.852 0.658 0.750
W 0.165 0.835 0.063
W 0.165 0.835 0.437
W 0.341 0.659 0.750
W 0.500 0.500 0.000
W 0.500 0.500 0.500
W 0.659 0.341 0.250
W 0.835 0.165 0.563
W 0.835 0.165 0.937
CELL_PARAMETERS angstrom
2.535 -4.484 0.000
2.535 4.484 0.000
0.000 0.000 8.341
```

Output
- E (eV/atom) = -9.676

[3]
A geometry-optimized Al9W4 structure. Source: OQMD via LeMat-Bulk, functional PBE-GGA. Values from VASP.

Quantum ESPRESSO input file:
```
&SYSTEM
  ibrav = 0, nat = 13, ntyp = 2
/
ATOMIC_SPECIES
Al 26.98 Al.upf
W 183.84 W.upf
ATOMIC_POSITIONS crystal
Al 0.000 0.000 0.000
Al 0.085 0.085 0.585
Al 0.085 0.585 0.085
Al 0.353 0.353 0.353
Al 0.415 0.915 0.915
Al 0.585 0.085 0.085
Al 0.647 0.647 0.647
Al 0.915 0.415 0.915
Al 0.915 0.915 0.415
W 0.166 0.166 0.166
W 0.453 0.453 0.453
W 0.547 0.547 0.547
W 0.834 0.834 0.834
CELL_PARAMETERS angstrom
2.553 1.474 9.044
-2.553 1.474 9.044
0.000 -2.948 9.044
```

Output
- distance to the lowest polymorph of the same formula (meV per atom) = 9
- E (eV/atom) = -6.511

[4]
A geometry-optimized Al2W3 structure. Source: OQMD via LeMat-Bulk, functional PBE-GGA. Values from VASP.

Quantum ESPRESSO input file:
```
&SYSTEM
  ibrav = 0, nat = 10, ntyp = 2
/
ATOMIC_SPECIES
Al 26.98 Al.upf
W 183.84 W.upf
ATOMIC_POSITIONS crystal
Al 0.090 0.090 0.090
Al 0.410 0.410 0.410
Al 0.590 0.590 0.590
Al 0.910 0.910 0.910
W 0.017 0.250 0.483
W 0.250 0.483 0.017
W 0.483 0.017 0.250
W 0.517 0.983 0.750
W 0.750 0.517 0.983
W 0.983 0.750 0.517
CELL_PARAMETERS angstrom
3.315 1.914 4.417
-3.315 1.914 4.417
0.000 -3.827 4.417
```

Output
- distance to the lowest polymorph of the same formula (meV per atom) = 622
- E (eV/atom) = -8.631

[5]
A geometry-optimized AlW structure. Source: OQMD via LeMat-Bulk, functional PBE-GGA. Values from VASP.

Quantum ESPRESSO input file:
```
&SYSTEM
  ibrav = 0, nat = 12, ntyp = 2
/
ATOMIC_SPECIES
Al 26.98 Al.upf
W 183.84 W.upf
ATOMIC_POSITIONS crystal
Al 0.000 0.000 0.000
Al 0.000 0.000 0.500
Al 0.333 0.667 0.068
Al 0.333 0.667 0.432
Al 0.667 0.333 0.568
Al 0.667 0.333 0.932
W 0.171 0.342 0.750
W 0.171 0.829 0.750
W 0.342 0.171 0.250
W 0.658 0.829 0.750
W 0.829 0.171 0.250
W 0.829 0.658 0.250
CELL_PARAMETERS angstrom
5.304 0.000 0.000
-2.652 4.593 0.000
0.000 0.000 8.354
```

Output
- E (eV/atom) = -8.003

[6]
A geometry-optimized AlW28 structure. Source: OQMD via LeMat-Bulk, functional PBE-GGA. Values from VASP.

Quantum ESPRESSO input file:
```
&SYSTEM
  ibrav = 0, nat = 29, ntyp = 2
/
ATOMIC_SPECIES
Al 26.98 Al.upf
W 183.84 W.upf
ATOMIC_POSITIONS crystal
Al 0.000 0.000 0.000
W 0.000 0.000 0.638
W 0.000 0.192 0.379
W 0.000 0.379 0.192
W 0.000 0.404 0.684
W 0.000 0.638 0.000
W 0.000 0.684 0.404
W 0.187 0.808 0.808
W 0.192 0.000 0.379
W 0.192 0.379 0.000
W 0.280 0.596 0.596
W 0.316 0.316 0.720
W 0.316 0.720 0.316
W 0.362 0.362 0.362
W 0.379 0.000 0.192
W 0.379 0.192 0.000
W 0.404 0.000 0.684
W 0.404 0.684 0.000
W 0.596 0.280 0.596
W 0.596 0.596 0.280
W 0.621 0.621 0.813
W 0.621 0.813 0.621
W 0.638 0.000 0.000
W 0.684 0.000 0.404
W 0.684 0.404 0.000
W 0.720 0.316 0.316
W 0.808 0.187 0.808
W 0.808 0.808 0.187
W 0.813 0.621 0.621
CELL_PARAMETERS angstrom
-4.941 4.941 4.941
4.941 -4.941 4.941
4.941 4.941 -4.941
```

Output
- E (eV/atom) = -12.353

[7]
A geometry-optimized Al2W structure. Source: OQMD via LeMat-Bulk, functional PBE-GGA. Values from VASP.

Quantum ESPRESSO input file:
```
&SYSTEM
  ibrav = 0, nat = 3, ntyp = 2
/
ATOMIC_SPECIES
Al 26.98 Al.upf
W 183.84 W.upf
ATOMIC_POSITIONS crystal
Al 0.250 0.250 0.250
Al 0.750 0.750 0.750
W 0.000 0.000 0.000
CELL_PARAMETERS angstrom
0.000 3.051 3.051
3.051 0.000 3.051
3.051 3.051 0.000
```

Output
- E (eV/atom) = -6.173

[8]
A geometry-optimized Al2W structure. Source: OQMD via LeMat-Bulk, functional PBE-GGA. Values from VASP.

Quantum ESPRESSO input file:
```
&SYSTEM
  ibrav = 0, nat = 30, ntyp = 2
/
ATOMIC_SPECIES
Al 26.98 Al.upf
W 183.84 W.upf
ATOMIC_POSITIONS crystal
Al 0.041 0.363 0.000
Al 0.068 0.267 0.500
Al 0.095 0.095 0.000
Al 0.137 0.541 0.500
Al 0.233 0.568 0.000
Al 0.267 0.068 0.500
Al 0.363 0.041 0.000
Al 0.405 0.595 0.500
Al 0.432 0.767 0.000
Al 0.459 0.863 0.500
Al 0.541 0.137 0.500
Al 0.568 0.233 0.000
Al 0.595 0.405 0.500
Al 0.637 0.959 0.000
Al 0.733 0.932 0.500
Al 0.767 0.432 0.000
Al 0.863 0.459 0.500
Al 0.905 0.905 0.000
Al 0.932 0.733 0.500
Al 0.959 0.637 0.000
W 0.000 0.000 0.500
W 0.180 0.820 0.248
W 0.180 0.820 0.752
W 0.320 0.320 0.252
W 0.320 0.320 0.748
W 0.500 0.500 0.000
W 0.680 0.680 0.252
W 0.680 0.680 0.748
W 0.820 0.180 0.248
W 0.820 0.180 0.752
CELL_PARAMETERS angstrom
9.440 0.000 0.000
0.000 9.440 0.000
0.000 0.000 5.323
```

Output
- E (eV/atom) = -6.762